# 1
Compound: K3BaRh
Source: the Alexandria database
Functional: GGA-PBEsol
Structure: relaxed

Electronic total energy   -10.4 eV/cell
DFT formation energy   650 meV/atom
Calculated volume   45.84 A^3/atom

Cell: 6.1199 6.1199 6.1199 Å, 90.00 90.00 90.00°
With the nearest neighbours (Å) after each atom.
Element x y z (fractional)
1 K 0.0000 0.5000 0.0000  2 Rh 3.06
2 K 0.0000 0.0000 0.5000  2 Rh 3.06
3 K 0.5000 0.0000 0.0000  2 Rh 3.06
4 Rh 0.0000 0.0000 0.0000  6 K 3.06
5 Ba 0.5000 0.5000 0.5000  12 K 4.33

# 2
Compound: KBa3Rh
Source: the Alexandria database
Functional: GGA-PBEsol
Structure: relaxed

Electronic total energy   -15.9 eV/cell
DFT formation energy   -36 meV/atom
Calculated volume   46.68 A^3/atom

Cell: 6.1569 6.1569 6.1569 Å, 90.00 90.00 90.00°
With the nearest neighbours (Å) after each atom.
Element x y z (fractional)
1 K 0.5000 0.5000 0.5000  12 Ba 4.35
2 Rh 0.0000 0.0000 0.0000  6 Ba 3.08
3 Ba 0.0000 0.5000 0.0000  2 Rh 3.08
4 Ba 0.0000 0.0000 0.5000  2 Rh 3.08
5 Ba 0.5000 0.0000 0.0000  2 Rh 3.08